Entry 1:
## ReMoS2Cl (GGA-PBE)

Data for a relaxed structure of ReMoS2Cl.

a b c (Å): 4.571 4.571 5.100
angles (deg): 90.00 90.00 90.00
Element x y z (fractional)
Re 0.000 0.000 0.000
Mo 0.500 0.500 0.500
S 0.000 0.500 0.000
S 0.500 0.000 0.000
Cl 0.000 0.000 0.500

Mass density: 5.9 g/cm3
VASP energy: -29.24 eV per cell
Symmetry: P4/mmm



Entry 2:
## SrTaNO2 (GGA-PBE)

Data for a relaxed structure of SrTaNO2.

a b c (Å): 5.745 5.728 10.010
angles (deg): 90.00 124.93 90.00
Element x y z (fractional)
Sr 0.000 0.241 0.000
Sr 0.000 0.759 0.500
Sr 0.502 0.258 0.499
Sr 0.502 0.742 0.999
Ta 0.250 0.241 0.757
Ta 0.250 0.759 0.257
Ta 0.748 0.247 0.240
Ta 0.748 0.753 0.740
N 0.487 0.258 0.008
N 0.487 0.742 0.508
N 0.988 0.017 0.743
N 0.988 0.983 0.243
O 0.027 0.478 0.240
O 0.027 0.522 0.740
O 0.075 0.256 0.514
O 0.075 0.744 0.014
O 0.528 0.020 0.282
O 0.528 0.980 0.782
O 0.575 0.481 0.784
O 0.575 0.519 0.284

Mass density: 7.7 g/cm3
VASP energy: -175.19 eV per cell
Symmetry: Pc



Entry 3:
## Mn13Fe3 (GGA-PBE)

Data for a relaxed structure of Mn13Fe3.

a b c (Å): 7.170 5.011 5.011
angles (deg): 88.69 90.00 90.00
Element x y z (fractional)
Mn 0.000 0.000 0.000
Mn 0.000 0.485 0.485
Mn 0.000 0.496 0.988
Mn 0.000 0.988 0.496
Mn 0.252 0.243 0.741
Mn 0.252 0.741 0.243
Mn 0.254 0.745 0.745
Mn 0.500 0.485 0.485
Mn 0.500 0.493 0.989
Mn 0.500 0.989 0.493
Mn 0.746 0.745 0.745
Mn 0.748 0.243 0.741
Mn 0.748 0.741 0.243
Fe 0.253 0.239 0.239
Fe 0.500 0.998 0.998
Fe 0.747 0.239 0.239

Mass density: 8.1 g/cm3
Formation energy from the elements: 0.029 eV/atom
Symmetry: Amm2



Entry 4:
## PmSmGePb (GGA-PBE)

Data for a relaxed structure of PmSmGePb.

a b c (Å): 7.609 7.609 7.609
angles (deg): 90.00 90.00 90.00
Element x y z (fractional)
Pm 0.000 0.000 0.000
Pm 0.000 0.500 0.500
Pm 0.500 0.000 0.500
Pm 0.500 0.500 0.000
Sm 0.000 0.000 0.500
Sm 0.000 0.500 0.000
Sm 0.500 0.000 0.000
Sm 0.500 0.500 0.500
Ge 0.250 0.250 0.250
Ge 0.250 0.750 0.750
Ge 0.750 0.250 0.750
Ge 0.750 0.750 0.250
Pb 0.250 0.250 0.750
Pb 0.250 0.750 0.250
Pb 0.750 0.250 0.250
Pb 0.750 0.750 0.750

Mass density: 8.7 g/cm3
Formation energy from the elements: -0.450 eV/atom
Symmetry: F-43m



Entry 5:
## VCoSbTe2 (GGA-PBE)

Data for a relaxed structure of VCoSbTe2.

a b c (Å): 5.125 5.125 4.665
angles (deg): 90.00 90.00 90.00
Element x y z (fractional)
V 0.000 0.000 0.000
Co 0.500 0.500 0.500
Sb 0.500 0.500 0.000
Te 0.000 0.500 0.500
Te 0.500 0.000 0.500

Mass density: 6.6 g/cm3
VASP energy: -22.57 eV per cell
Symmetry: P4/mmm



Entry 6:
## Mg2InBi (GGA-PBE)

Data for a relaxed structure of Mg2InBi.

a b c (Å): 5.524 6.928 5.427
angles (deg): 90.00 90.00 90.00
Element x y z (fractional)
Mg 0.250 0.002 0.209
Mg 0.250 0.498 0.209
Mg 0.750 0.502 0.791
Mg 0.750 0.998 0.791
In 0.250 0.250 0.712
In 0.750 0.750 0.288
Bi 0.250 0.750 0.711
Bi 0.750 0.250 0.289

Mass density: 6.0 g/cm3
Formation energy from the elements: -0.070 eV/atom
Symmetry: Pmmn



Entry 7:
## LaTb2MnN4 (GGA-PBE)

Data for a relaxed structure of LaTb2MnN4.

a b c (Å): 6.101 6.101 11.743
angles (deg): 90.00 90.00 147.15
Element x y z (fractional)
La 0.102 0.898 0.750
La 0.898 0.102 0.250
Tb 0.370 0.630 0.545
Tb 0.370 0.630 0.955
Tb 0.630 0.370 0.045
Tb 0.630 0.370 0.455
Mn 0.165 0.835 0.250
Mn 0.835 0.165 0.750
N 0.000 0.000 0.000
N 0.000 0.000 0.500
N 0.268 0.732 0.127
N 0.268 0.732 0.373
N 0.422 0.578 0.750
N 0.578 0.422 0.250
N 0.732 0.268 0.627
N 0.732 0.268 0.873

Mass density: 8.0 g/cm3
VASP energy: -132.43 eV per cell
Symmetry: Cmcm



The following Fermi-level density of states values (in states/eV/cell) correspond, in order, to the records above: 2.2 0.0 19.1 19.7 6.7 4.5 7.6.